{
  "formula": "UAgWO6",
  "functional": "PBE with a Hubbard U",
  "state": "optimized geometry",
  "lattice": [[5.5967, 0.0000, 0.0000], [-2.7984, 4.8469, 0.0000], [0.0000, 0.0000, 10.0031]],
  "species": ["O", "O", "O", "O", "O", "O", "O", "U", "O", "O", "U", "W", "W", "Ag", "O", "Ag", "O", "O"],
  "fractional_positions": [[0.3605, 0.9732, 0.1431], [0.6395, 0.0268, 0.8569], [0.3872, 0.0268, 0.6431], [0.6395, 0.6128, 0.6431], [0.6128, 0.6395, 0.1431], [0.3605, 0.3872, 0.3569], [0.6128, 0.9732, 0.3569], [0.3333, 0.6667, 0.7500], [0.3872, 0.3605, 0.8569], [0.0268, 0.3872, 0.1431], [0.6667, 0.3333, 0.2500], [0.6667, 0.3333, 0.7500], [0.3333, 0.6667, 0.2500], [0.0000, 0.0000, 0.0000], [0.9732, 0.3605, 0.6431], [0.0000, 0.0000, 0.5000], [0.9732, 0.6128, 0.8569], [0.0268, 0.6395, 0.3569]],
  "volume_a3_per_atom": 15.07,
  "e_tot_ev_per_atom": -7.77,
  "spacegroup": "P-31c, No. 163"
}